AlCuAs | Alexandria | SCAN | single point on PBEsol structure; calculated density = 6.05 g/cm3; density of states at the Fermi level = 1.2 states/eV/cell; DFT formation energy = 0.0843 eV/atom; symmetry = Fmm2 (42)
1.0
0.000 2.038 5.541
2.010 0.000 5.541
2.010 2.038 0.000
Al Cu As
1 1 1
direct
0.000 0.000 0.000
0.644 0.644 0.356
0.304 0.304 0.696